DFT (GGA-PBE) results for crystalline SiAg2HgTe3Se at its relaxed geometry.

The energy comes out at -3.180 eV per atom.

It has space group Cm (No. 8), with a = 8.8272 Å, b = 8.9008 Å, c = 7.6115 Å, α = 90.00°, β = 124.98° and γ = 90.00°. The inequivalent atoms are Si at (0.0000, 0.0000, 0.0000), Ag at (0.4953, 0.2654, 0.5231), Hg at (0.4992, 0.0000, 0.0138), Te at (0.1142, 0.2251, 0.2548), Te at (0.1448, 0.5000, 0.7542) and Se at (0.1065, 0.0000, 0.7829).